Ti2CoIr9 | GGA-PBE | relaxed

The structure in POSCAR format:
```
Ti2CoIr9
1.0
3.853 0.000 0.000
0.000 3.853 0.000
0.000 0.000 11.581
Ti Co Ir
2 1 9
Direct
0.000 0.000 0.167
0.000 0.000 0.833
0.000 0.000 0.500
0.000 0.500 0.000
0.000 0.500 0.337
0.000 0.500 0.663
0.500 0.000 0.000
0.500 0.000 0.337
0.500 0.000 0.663
0.500 0.500 0.168
0.500 0.500 0.500
0.500 0.500 0.832
```

E_tot, eV/atom: -9.01
SG: P4/mmm
DFT formation energy, meV per atom: -453

---

Ti3CoIr | GGA-PBE | relaxed

The structure in POSCAR format:
```
Ti3CoIr
1.0
6.082 0.000 0.000
0.000 6.082 0.000
0.000 0.000 6.082
Ti Co Ir
9 3 3
Direct
0.000 0.000 0.000
0.260 0.260 0.260
0.260 0.260 0.740
0.260 0.740 0.260
0.260 0.740 0.740
0.740 0.260 0.260
0.740 0.260 0.740
0.740 0.740 0.260
0.740 0.740 0.740
0.000 0.500 0.500
0.500 0.000 0.500
0.500 0.500 0.000
0.000 0.000 0.500
0.000 0.500 0.000
0.500 0.000 0.000
```

E_tot, eV/atom: -8.42
SG: Pm-3m
DFT formation energy, meV per atom: -492

---

Ti11Co9Ir4 | GGA-PBE | relaxed

The structure in POSCAR format:
```
Ti11Co9Ir4
1.0
6.349 -8.899 0.000
6.349 8.899 0.000
0.000 0.000 2.918
Ti Co Ir
11 9 4
Direct
0.000 0.000 0.000
0.064 0.409 0.000
0.190 0.810 0.000
0.200 0.200 0.000
0.369 0.631 0.000
0.409 0.064 0.000
0.591 0.936 0.000
0.631 0.369 0.000
0.800 0.800 0.000
0.810 0.190 0.000
0.936 0.591 0.000
0.003 0.213 0.500
0.152 0.616 0.500
0.213 0.003 0.500
0.384 0.848 0.500
0.500 0.500 0.500
0.616 0.152 0.500
0.787 0.997 0.500
0.848 0.384 0.500
0.997 0.787 0.500
0.257 0.414 0.500
0.414 0.257 0.500
0.586 0.743 0.500
0.743 0.586 0.500
```

E_tot, eV/atom: -8.22
SG: Cmmm
DFT formation energy, meV per atom: -465